# 1
This record from the Alexandria database describes a geometry-optimized CuAsIr2 structure. The functional is GGA-PBE.

Values from the calculation:
density of states at the Fermi level	4.3	states/eV/f.u.
energy of formation from the pure elements	0.21	eV/atom
density	14.5	g/cm3

Structure (CIF):
```
data_CuAsIr2
_symmetry_space_group_name_H-M 'P 4 m m'
_symmetry_Int_Tables_number 99
_symmetry_space_group_name_Hall 'P 4 -2'
_cell_length_a 2.849
_cell_length_b 2.849
_cell_length_c 7.383
_cell_angle_alpha 90.00
_cell_angle_beta 90.00
_cell_angle_gamma 90.00
loop_
_atom_site_label
_atom_site_type_symbol
_atom_site_fract_x
_atom_site_fract_y
_atom_site_fract_z
_atom_site_occupancy
Cu1 Cu 0.000 0.000 0.000 1
As1 As 0.500 0.500 0.717 1
Ir1 Ir 0.000 0.000 0.487 1
Ir2 Ir 0.500 0.500 0.232 1
```


# 2
This record from the Alexandria database describes a geometry-optimized CuAsIr2 structure. The functional is GGA-PBE.

Values from the calculation:
density of states at the Fermi level	3.2	states/eV/f.u.
energy of formation from the pure elements	0.16	eV/atom
density	14.9	g/cm3

Structure (CIF):
```
data_CuAsIr2
_symmetry_space_group_name_H-M 'P 1 m 1'
_symmetry_Int_Tables_number 6
_symmetry_space_group_name_Hall 'P -2y'
_cell_length_a 2.826
_cell_length_b 4.037
_cell_length_c 5.309
_cell_angle_alpha 90.00
_cell_angle_beta 105.27
_cell_angle_gamma 90.00
loop_
_atom_site_label
_atom_site_type_symbol
_atom_site_fract_x
_atom_site_fract_y
_atom_site_fract_z
_atom_site_occupancy
Cu1 Cu 0.000 0.000 0.000 1
As1 As 0.391 0.500 0.784 1
Ir1 Ir 0.255 0.000 0.514 1
Ir2 Ir 0.626 0.500 0.253 1
```


# 3
This record from the Alexandria database describes a geometry-optimized CuAsIr2 structure. The functional is GGA-PBE.

Values from the calculation:
density of states at the Fermi level	2.0	states/eV/f.u.
energy of formation from the pure elements	0.11	eV/atom
density	14.8	g/cm3

Structure (CIF):
```
data_CuAsIr2
_symmetry_space_group_name_H-M 'C 1 m 1'
_symmetry_Int_Tables_number 8
_symmetry_space_group_name_Hall 'C -2y'
_cell_length_a 9.580
_cell_length_b 2.886
_cell_length_c 4.700
_cell_angle_alpha 90.00
_cell_angle_beta 115.10
_cell_angle_gamma 90.00
loop_
_atom_site_label
_atom_site_type_symbol
_atom_site_fract_x
_atom_site_fract_y
_atom_site_fract_z
_atom_site_occupancy
Cu1 Cu 0.000 0.000 0.000 1
As1 As 0.297 0.500 0.440 1
Ir1 Ir 0.047 0.500 0.531 1
Ir2 Ir 0.267 0.000 0.987 1
```


# 4
This record from the Alexandria database describes a geometry-optimized CuAs3Ir structure. The functional is GGA-PBE.

Values from the calculation:
density of states at the Fermi level	5.2	states/eV/f.u.
energy of formation from the pure elements	0.84	eV/atom
density	7.0	g/cm3
energy relative to the lowest polymorph listed for this composition	0.0	meV/atom

Structure (CIF):
```
data_CuAs3Ir
_symmetry_space_group_name_H-M 'P m -3 m'
_symmetry_Int_Tables_number 221
_symmetry_space_group_name_Hall '-P 4 2 3'
_cell_length_a 4.843
_cell_length_b 4.843
_cell_length_c 4.843
_cell_angle_alpha 90.00
_cell_angle_beta 90.00
_cell_angle_gamma 90.00
loop_
_atom_site_label
_atom_site_type_symbol
_atom_site_fract_x
_atom_site_fract_y
_atom_site_fract_z
_atom_site_occupancy
Cu1 Cu 0.000 0.000 0.000 1
As1 As 0.000 0.500 0.500 1
Ir1 Ir 0.500 0.500 0.500 1
```


# 5
This record from the Alexandria database describes a geometry-optimized CuAsIr structure. The functional is GGA-PBE.

Values from the calculation:
density of states at the Fermi level	2.2	states/eV/f.u.
energy of formation from the pure elements	0.06	eV/atom
density	11.0	g/cm3
energy relative to the lowest polymorph listed for this composition	0.0	meV/atom

Structure (CIF):
```
data_CuAsIr
_symmetry_space_group_name_H-M 'F -4 3 m'
_symmetry_Int_Tables_number 216
_symmetry_space_group_name_Hall 'F -4 2 3'
_cell_length_a 5.844
_cell_length_b 5.844
_cell_length_c 5.844
_cell_angle_alpha 90.00
_cell_angle_beta 90.00
_cell_angle_gamma 90.00
loop_
_atom_site_label
_atom_site_type_symbol
_atom_site_fract_x
_atom_site_fract_y
_atom_site_fract_z
_atom_site_occupancy
Cu1 Cu 0.000 0.000 0.000 1
As1 As 0.000 0.000 0.500 1
Ir1 Ir 0.250 0.250 0.250 1
```


# 6
This record from the Alexandria database describes a geometry-optimized CuAsIr2 structure. The functional is GGA-PBE.

Values from the calculation:
density of states at the Fermi level	2.6	states/eV/f.u.
energy of formation from the pure elements	0.20	eV/atom
density	14.3	g/cm3

Structure (CIF):
```
data_CuAsIr2
_symmetry_space_group_name_H-M 'I m m 2'
_symmetry_Int_Tables_number 44
_symmetry_space_group_name_Hall 'I 2 -2'
_cell_length_a 2.861
_cell_length_b 4.010
_cell_length_c 10.608
_cell_angle_alpha 90.00
_cell_angle_beta 90.00
_cell_angle_gamma 90.00
loop_
_atom_site_label
_atom_site_type_symbol
_atom_site_fract_x
_atom_site_fract_y
_atom_site_fract_z
_atom_site_occupancy
Cu1 Cu 0.000 0.000 0.000 1
As1 As 0.000 0.500 0.256 1
Ir1 Ir 0.000 0.000 0.568 1
Ir2 Ir 0.000 0.500 0.833 1
```